## Li2H4I3 (PBE)

Data for Li2H4I3 after structural relaxation.

Lattice parameters (Å, degrees): 5.249 5.647 8.046 82.47 87.48 89.16
Space group P-1 (No. 2)
Symmetry-distinct sites (fractional):
Li 0.103 0.318 0.325 [2 per cell]
H 0.491 0.287 0.366 [2 per cell]
H 0.499 0.356 0.278 [2 per cell]
I 0.000 0.500 0.000 [1 per cell]
I 0.006 0.174 0.669 [2 per cell]

M_tot, μB/cell: 0.00
VASP energy, eV/cell: -26.03
DOS(E_F), states/eV/cell: 1.340